Version w
# TbPmIr, relaxed, DFT PBE-GGA
# - theoretical density (Mg/m³) = 10.05
# - size of the total moment (μB/f.u.) = 0.00
data_TbPmIr
_chemical_formula_sum 'Tb4 Pm4 Ir4'
_symmetry_space_group_name_H-M 'F -4 3 m'
_symmetry_Int_Tables_number 216
_symmetry_space_group_name_Hall 'F -4 2 3'
_cell_length_a 6.896
_cell_length_b 6.896
_cell_length_c 6.896
_cell_angle_alpha 90.00
_cell_angle_beta 90.00
_cell_angle_gamma 90.00
loop_
_atom_site_label
_atom_site_type_symbol
_atom_site_fract_x
_atom_site_fract_y
_atom_site_fract_z
Tb1 Tb 0.000 0.000 0.000
Pm1 Pm 0.000 0.000 0.500
Ir1 Ir 0.250 0.250 0.750

Version x
# TbPmIr, relaxed, DFT PBE-GGA
# - theoretical density (Mg/m³) = 8.76
# - size of the total moment (μB/f.u.) = 0.00
data_TbPmIr
_chemical_formula_sum 'Tb1 Pm1 Ir1'
_symmetry_space_group_name_H-M 'P 3 m 1'
_symmetry_Int_Tables_number 156
_cell_length_a 4.1609
_cell_length_b 4.1609
_cell_length_c 6.2738
_cell_angle_alpha 90.00
_cell_angle_beta 90.00
_cell_angle_gamma 120.00
loop_
_symmetry_equiv_pos_as_xyz
'x,y,z'
'-y,x-y,z'
'-x+y,-x,z'
'-y,-x,z'
'-x+y,y,z'
'x,x-y,z'
loop_
_atom_site_label
_atom_site_type_symbol
_atom_site_fract_x
_atom_site_fract_y
_atom_site_fract_z
Tb1 Tb 0.0000 0.0000 0.0000
Pm1 Pm 0.3333 0.6667 0.4576
Ir1 Ir 0.6667 0.3333 0.2212

Most stable to least stable, the ends of the list are version w and version x.

Version w
# TbPmIr, relaxed, DFT PBE-GGA
# - theoretical density (Mg/m³) = 10.64
# - size of the total moment (μB/f.u.) = 0.00
data_TbPmIr
_chemical_formula_sum 'Tb4 Pm4 Ir4'
_symmetry_space_group_name_H-M 'C 1 2/m 1'
_symmetry_Int_Tables_number 12
_cell_length_a 6.484
_cell_length_b 6.488
_cell_length_c 8.039
_cell_angle_alpha 90.00
_cell_angle_beta 113.70
_cell_angle_gamma 90.00
loop_
_symmetry_equiv_pos_as_xyz
'x,y,z'
'-x,-y,-z'
'-x,y,-z'
'x,-y,z'
'x+1/2,y+1/2,z'
'-x+1/2,-y+1/2,-z'
'-x+1/2,y+1/2,-z'
'x+1/2,-y+1/2,z'
loop_
_atom_site_label
_atom_site_type_symbol
_atom_site_fract_x
_atom_site_fract_y
_atom_site_fract_z
Tb1 Tb 0.250 0.250 0.000
Pm1 Pm 0.187 0.000 0.374
Ir1 Ir 0.125 0.500 0.252

Version x
# TbPmIr, relaxed, DFT PBE-GGA
# - theoretical density (Mg/m³) = 10.18
# - size of the total moment (μB/f.u.) = 0.00
data_TbPmIr
_chemical_formula_sum 'Tb2 Pm2 Ir2'
_symmetry_space_group_name_H-M 'I 4 m m'
_symmetry_Int_Tables_number 107
_symmetry_space_group_name_Hall 'I 4 -2'
_cell_length_a 3.522
_cell_length_b 3.522
_cell_length_c 13.040
_cell_angle_alpha 90.00
_cell_angle_beta 90.00
_cell_angle_gamma 90.00
loop_
_atom_site_label
_atom_site_type_symbol
_atom_site_fract_x
_atom_site_fract_y
_atom_site_fract_z
Tb1 Tb 0.000 0.000 0.000
Pm1 Pm 0.000 0.000 0.252
Ir1 Ir 0.000 0.000 0.621

Most stable to least stable, the ends of the list are version w and version x.

Version w
# TbPm3Ir2, relaxed, DFT PBE-GGA
# - theoretical density (Mg/m³) = 9.43
# - size of the total moment (μB/f.u.) = 0.00
data_TbPm3Ir2
_chemical_formula_sum 'Tb4 Pm12 Ir8'
_symmetry_space_group_name_H-M 'I b a m'
_symmetry_Int_Tables_number 72
_symmetry_space_group_name_Hall '-I 2 2c'
_cell_length_a 6.913
_cell_length_b 13.824
_cell_length_c 7.214
_cell_angle_alpha 90.00
_cell_angle_beta 90.00
_cell_angle_gamma 90.00
loop_
_atom_site_label
_atom_site_type_symbol
_atom_site_fract_x
_atom_site_fract_y
_atom_site_fract_z
Tb1 Tb 0.000 0.000 0.000
Pm1 Pm 0.000 0.235 0.250
Pm2 Pm 0.000 0.500 0.250
Ir1 Ir 0.216 0.363 0.000

Version x
# TbPm3Ir2, relaxed, DFT PBE-GGA
# - theoretical density (Mg/m³) = 10.38
# - size of the total moment (μB/f.u.) = 0.00
data_TbPm3Ir2
_chemical_formula_sum 'Tb2 Pm6 Ir4'
_symmetry_space_group_name_H-M 'P m c 21'
_symmetry_Int_Tables_number 26
_cell_length_a 4.782
_cell_length_b 8.952
_cell_length_c 7.312
_cell_angle_alpha 90.00
_cell_angle_beta 90.00
_cell_angle_gamma 90.00
loop_
_symmetry_equiv_pos_as_xyz
'x,y,z'
'-x,-y,z+1/2'
'-x,y,z'
'x,-y,z+1/2'
loop_
_atom_site_label
_atom_site_type_symbol
_atom_site_fract_x
_atom_site_fract_y
_atom_site_fract_z
Tb1 Tb 0.000 0.090 0.000
Pm1 Pm 0.000 0.335 0.636
Pm2 Pm 0.500 0.160 0.354
Pm3 Pm 0.500 0.411 0.992
Ir1 Ir 0.000 0.333 0.236
Ir2 Ir 0.500 0.163 0.756

Most stable to least stable, the ends of the list are version x and version w.

Version w
# TbPm3Ir, relaxed, DFT PBE-GGA
# - theoretical density (Mg/m³) = 8.23
# - size of the total moment (μB/f.u.) = 0.00
data_TbPm3Ir
_chemical_formula_sum 'Tb4 Pm12 Ir4'
_symmetry_space_group_name_H-M 'I m a 2'
_symmetry_Int_Tables_number 46
_cell_length_a 8.816
_cell_length_b 8.287
_cell_length_c 8.683
_cell_angle_alpha 90.00
_cell_angle_beta 90.00
_cell_angle_gamma 90.00
loop_
_symmetry_equiv_pos_as_xyz
'x,y,z'
'-x,-y,z'
'-x+1/2,y,z'
'x+1/2,-y,z'
'x+1/2,y+1/2,z+1/2'
'-x+1/2,-y+1/2,z+1/2'
'-x,y+1/2,z+1/2'
'x,-y+1/2,z+1/2'
loop_
_atom_site_label
_atom_site_type_symbol
_atom_site_fract_x
_atom_site_fract_y
_atom_site_fract_z
Tb1 Tb 0.250 0.046 0.000
Pm1 Pm 0.054 0.708 0.200
Pm2 Pm 0.250 0.042 0.396
Ir1 Ir 0.250 0.134 0.700

Version x
# TbPm3Ir, relaxed, DFT PBE-GGA
# - theoretical density (Mg/m³) = 7.54
# - size of the total moment (μB/f.u.) = 0.00
data_TbPm3Ir
_chemical_formula_sum 'Tb1 Pm3 Ir1'
_symmetry_space_group_name_H-M 'P m -3 m'
_symmetry_Int_Tables_number 221
_symmetry_space_group_name_Hall '-P 4 2 3'
_cell_length_a 5.573
_cell_length_b 5.573
_cell_length_c 5.573
_cell_angle_alpha 90.00
_cell_angle_beta 90.00
_cell_angle_gamma 90.00
loop_
_atom_site_label
_atom_site_type_symbol
_atom_site_fract_x
_atom_site_fract_y
_atom_site_fract_z
Tb1 Tb 0.000 0.000 0.000
Pm1 Pm 0.000 0.500 0.500
Ir1 Ir 0.500 0.500 0.500

Most stable to least stable, the ends of the list are version w and version x.

Version w
# Tb2PmIr2, relaxed, DFT PBE-GGA
# - theoretical density (Mg/m³) = 10.92
# - size of the total moment (μB/f.u.) = 0.00
data_Tb2PmIr2
_chemical_formula_sum 'Tb4 Pm2 Ir4'
_symmetry_space_group_name_H-M 'P 1 21/m 1'
_symmetry_Int_Tables_number 11
_cell_length_a 5.538
_cell_length_b 4.427
_cell_length_c 10.600
_cell_angle_alpha 90.00
_cell_angle_beta 97.30
_cell_angle_gamma 90.00
loop_
_symmetry_equiv_pos_as_xyz
'x,y,z'
'-x,-y,-z'
'-x,y+1/2,-z'
'x,-y+1/2,z'
loop_
_atom_site_label
_atom_site_type_symbol
_atom_site_fract_x
_atom_site_fract_y
_atom_site_fract_z
Tb1 Tb 0.105 0.250 0.383
Tb2 Tb 0.249 0.250 0.030
Pm1 Pm 0.405 0.250 0.711
Ir1 Ir 0.231 0.750 0.862
Ir2 Ir 0.343 0.750 0.523

Version x
# Tb2PmIr2, relaxed, DFT PBE-GGA
# - theoretical density (Mg/m³) = 11.39
# - size of the total moment (μB/f.u.) = 0.00
data_Tb2PmIr2
_chemical_formula_sum 'Tb4 Pm2 Ir4'
_symmetry_space_group_name_H-M 'P 1 21/m 1'
_symmetry_Int_Tables_number 11
_cell_length_a 4.848
_cell_length_b 4.891
_cell_length_c 10.420
_cell_angle_alpha 90.00
_cell_angle_beta 90.03
_cell_angle_gamma 90.00
loop_
_symmetry_equiv_pos_as_xyz
'x,y,z'
'-x,-y,-z'
'-x,y+1/2,-z'
'x,-y+1/2,z'
loop_
_atom_site_label
_atom_site_type_symbol
_atom_site_fract_x
_atom_site_fract_y
_atom_site_fract_z
Tb1 Tb 0.250 0.250 0.003
Tb2 Tb 0.250 0.250 0.338
Pm1 Pm 0.251 0.250 0.671
Ir1 Ir 0.250 0.750 0.491
Ir2 Ir 0.250 0.750 0.842

Most stable to least stable, the ends of the list are version x and version w.